(1)
The following is a DFT calculation (PBE) of a relaxed K2AgH4 crystal. Values from VASP.

Results
As for the density of states at the Fermi level: 3.00 states/eV per cell. Its crystal system is tetragonal. The value obtained for the uncorrected energy is -2.64 eV per atom. The space group is I4/mmm. The calculation puts the magnetic moment at 0.000 μB per atom.

Cell and atoms, written as Quantum ESPRESSO input:
```
&SYSTEM
  ibrav = 0, nat = 7, ntyp = 3
/
ATOMIC_SPECIES
K 39.10 K.upf
Ag 107.87 Ag.upf
H 1.01 H.upf
CELL_PARAMETERS angstrom
-1.942 1.942 7.006
1.942 -1.942 7.006
1.942 1.942 -7.006
ATOMIC_POSITIONS crystal
K 0.146 0.146 0.000
K 0.854 0.854 0.000
Ag 0.500 0.500 0.000
H 0.000 0.500 0.500
H 0.358 0.358 0.000
H 0.500 0.000 0.500
H 0.642 0.642 0.000
```

***

(2)
The following is a DFT calculation (PBE) of a relaxed KAg2H4 crystal. Values from VASP.

Results
As for the density of states at the Fermi level: 0.44 states/eV per cell. Its crystal system is triclinic. The value obtained for the uncorrected energy is -2.80 eV per atom. The space group is P-1. The calculation puts the magnetic moment at 0.000 μB per atom.

Cell and atoms, written as Quantum ESPRESSO input:
```
&SYSTEM
  ibrav = 0, nat = 7, ntyp = 3
/
ATOMIC_SPECIES
K 39.10 K.upf
Ag 107.87 Ag.upf
H 1.01 H.upf
CELL_PARAMETERS angstrom
3.359 0.000 0.000
-0.011 3.888 0.000
-1.291 -1.940 7.404
ATOMIC_POSITIONS crystal
K 0.000 0.000 0.000
Ag 0.197 0.312 0.624
Ag 0.803 0.688 0.376
H 0.145 0.799 0.597
H 0.487 0.420 0.836
H 0.513 0.580 0.164
H 0.855 0.201 0.403
```

***

(3)
The following is a DFT calculation (PBE) of a relaxed K3AgH4 crystal. Values from VASP.

Results
As for the density of states at the Fermi level: 0.00 states/eV per cell. Its crystal system is orthorhombic. The value obtained for the uncorrected energy is -2.54 eV per atom. The space group is Imm2. The calculation puts the magnetic moment at 0.000 μB per atom.

Cell and atoms, written as Quantum ESPRESSO input:
```
&SYSTEM
  ibrav = 0, nat = 8, ntyp = 3
/
ATOMIC_SPECIES
K 39.10 K.upf
Ag 107.87 Ag.upf
H 1.01 H.upf
CELL_PARAMETERS angstrom
-3.000 4.218 3.098
3.000 -4.218 3.098
3.000 4.218 -3.098
ATOMIC_POSITIONS crystal
K 0.000 0.000 0.000
K 0.229 0.469 0.759
K 0.710 0.469 0.241
Ag 0.507 0.007 0.500
H 0.187 0.876 0.310
H 0.566 0.876 0.690
H 0.692 0.430 0.737
H 0.692 0.955 0.263
```

***

(4)
The following is a DFT calculation (PBE) of a relaxed K4AgH7 crystal. Values from VASP.

Results
As for the density of states at the Fermi level: 1.14 states/eV per cell. Its crystal system is monoclinic. The value obtained for the uncorrected energy is -2.49 eV per atom. The space group is C2/m. The calculation puts the magnetic moment at 0.017 μB per atom.

Cell and atoms, written as Quantum ESPRESSO input:
```
&SYSTEM
  ibrav = 0, nat = 12, ntyp = 3
/
ATOMIC_SPECIES
K 39.10 K.upf
Ag 107.87 Ag.upf
H 1.01 H.upf
CELL_PARAMETERS angstrom
7.186 -1.916 0.000
7.186 1.916 0.000
-4.620 0.000 7.828
ATOMIC_POSITIONS crystal
K 0.058 0.058 0.239
K 0.219 0.219 0.797
K 0.781 0.781 0.203
K 0.942 0.942 0.761
Ag 0.500 0.500 0.500
H 0.000 0.000 0.500
H 0.141 0.141 0.038
H 0.260 0.260 0.507
H 0.440 0.440 0.284
H 0.560 0.560 0.716
H 0.740 0.740 0.493
H 0.859 0.859 0.962
```

***

(5)
The following is a DFT calculation (PBE) of a relaxed K2Ag2H crystal. Values from VASP.

Results
As for the density of states at the Fermi level: 1.43 states/eV per cell. Its crystal system is tetragonal. The value obtained for the uncorrected energy is -2.21 eV per atom. The space group is I4/mmm. The calculation puts the magnetic moment at 0.000 μB per atom.

Cell and atoms, written as Quantum ESPRESSO input:
```
&SYSTEM
  ibrav = 0, nat = 5, ntyp = 3
/
ATOMIC_SPECIES
K 39.10 K.upf
Ag 107.87 Ag.upf
H 1.01 H.upf
CELL_PARAMETERS angstrom
-1.918 1.918 9.238
1.918 -1.918 9.238
1.918 1.918 -9.238
ATOMIC_POSITIONS crystal
K 0.092 0.092 0.000
K 0.908 0.908 0.000
Ag 0.250 0.750 0.500
Ag 0.750 0.250 0.500
H 0.500 0.500 0.000
```

***

(6)
The following is a DFT calculation (PBE) of a relaxed KAg3H crystal. Values from VASP.

Results
As for the density of states at the Fermi level: 1.07 states/eV per cell. Its crystal system is cubic. The value obtained for the uncorrected energy is -2.20 eV per atom. The space group is Pm-3m. The calculation puts the magnetic moment at 0.000 μB per atom.

Cell and atoms, written as Quantum ESPRESSO input:
```
&SYSTEM
  ibrav = 0, nat = 5, ntyp = 3
/
ATOMIC_SPECIES
K 39.10 K.upf
Ag 107.87 Ag.upf
H 1.01 H.upf
CELL_PARAMETERS angstrom
4.561 0.000 0.000
0.000 4.561 0.000
0.000 0.000 4.561
ATOMIC_POSITIONS crystal
K 0.000 0.000 0.000
Ag 0.000 0.500 0.500
Ag 0.500 0.000 0.500
Ag 0.500 0.500 0.000
H 0.500 0.500 0.500
```

***

(7)
The following is a DFT calculation (PBE) of a relaxed K2AgH6 crystal. Values from VASP.

Results
As for the density of states at the Fermi level: 2.21 states/eV per cell. Its crystal system is cubic. The value obtained for the uncorrected energy is -2.66 eV per atom. The space group is Fm-3m. The calculation puts the magnetic moment at 0.000 μB per atom.

Cell and atoms, written as Quantum ESPRESSO input:
```
&SYSTEM
  ibrav = 0, nat = 9, ntyp = 3
/
ATOMIC_SPECIES
K 39.10 K.upf
Ag 107.87 Ag.upf
H 1.01 H.upf
CELL_PARAMETERS angstrom
0.000 4.020 4.020
4.020 0.000 4.020
4.020 4.020 0.000
ATOMIC_POSITIONS crystal
K 0.250 0.250 0.250
K 0.750 0.750 0.750
Ag 0.000 0.000 0.000
H 0.214 0.214 0.786
H 0.214 0.786 0.214
H 0.214 0.786 0.786
H 0.786 0.214 0.214
H 0.786 0.214 0.786
H 0.786 0.786 0.214
```

***

(8)
The following is a DFT calculation (PBE) of a relaxed KAgH4 crystal. Values from VASP.

Results
As for the density of states at the Fermi level: 0.00 states/eV per cell. Its crystal system is triclinic. The value obtained for the uncorrected energy is -2.77 eV per atom. The space group is P-1. The calculation puts the magnetic moment at 0.000 μB per atom.

Cell and atoms, written as Quantum ESPRESSO input:
```
&SYSTEM
  ibrav = 0, nat = 12, ntyp = 3
/
ATOMIC_SPECIES
K 39.10 K.upf
Ag 107.87 Ag.upf
H 1.01 H.upf
CELL_PARAMETERS angstrom
5.182 0.000 0.000
0.007 5.387 0.000
2.294 0.283 6.663
ATOMIC_POSITIONS crystal
K 0.005 0.244 0.249
K 0.995 0.756 0.751
Ag 0.497 0.258 0.748
Ag 0.503 0.742 0.252
H 0.160 0.249 0.843
H 0.166 0.735 0.346
H 0.493 0.565 0.755
H 0.500 0.049 0.259
H 0.500 0.951 0.741
H 0.507 0.435 0.245
H 0.834 0.265 0.654
H 0.840 0.751 0.157
```

***

(9)
The following is a DFT calculation (PBE) of a relaxed K3AgH5 crystal. Values from VASP.

Results
As for the density of states at the Fermi level: 10.86 states/eV per cell. Its crystal system is tetragonal. The value obtained for the uncorrected energy is -2.53 eV per atom. The space group is I4/mcm. The calculation puts the magnetic moment at 0.071 μB per atom.

Cell and atoms, written as Quantum ESPRESSO input:
```
&SYSTEM
  ibrav = 0, nat = 18, ntyp = 3
/
ATOMIC_SPECIES
K 39.10 K.upf
Ag 107.87 Ag.upf
H 1.01 H.upf
CELL_PARAMETERS angstrom
-3.679 3.679 6.024
3.679 -3.679 6.024
3.679 3.679 -6.024
ATOMIC_POSITIONS crystal
K 0.179 0.679 0.858
K 0.250 0.250 0.000
K 0.321 0.179 0.500
K 0.679 0.821 0.500
K 0.750 0.750 0.000
K 0.821 0.321 0.142
Ag 0.250 0.750 0.500
Ag 0.750 0.250 0.500
H 0.000 0.000 0.000
H 0.024 0.776 0.500
H 0.224 0.724 0.247
H 0.276 0.524 0.500
H 0.476 0.976 0.753
H 0.500 0.500 0.000
H 0.524 0.024 0.247
H 0.724 0.476 0.500
H 0.776 0.276 0.753
H 0.976 0.224 0.500
```

***

(10)
The following is a DFT calculation (PBE) of a relaxed KLaAgH2 crystal. Values from VASP.

Results
As for the density of states at the Fermi level: 3.07 states/eV per cell. Its crystal system is tetragonal. The value obtained for the uncorrected energy is -3.15 eV per atom. The space group is P4/mmm. The calculation puts the magnetic moment at 0.000 μB per atom.

Cell and atoms, written as Quantum ESPRESSO input:
```
&SYSTEM
  ibrav = 0, nat = 5, ntyp = 4
/
ATOMIC_SPECIES
K 39.10 K.upf
La 138.91 La.upf
Ag 107.87 Ag.upf
H 1.01 H.upf
CELL_PARAMETERS angstrom
4.689 0.000 0.000
0.000 4.689 0.000
0.000 0.000 6.128
ATOMIC_POSITIONS crystal
K 0.000 0.000 0.000
La 0.500 0.500 0.500
Ag 0.500 0.500 0.000
H 0.000 0.500 0.500
H 0.500 0.000 0.500
```

***

(11)
The following is a DFT calculation (PBE) of a relaxed K2MnAgH6 crystal. Values from VASP.

Results
As for the density of states at the Fermi level: 2.89 states/eV per cell. Its crystal system is tetragonal. The value obtained for the uncorrected energy is -3.46 eV per atom. The space group is I4/mmm. The calculation puts the magnetic moment at 0.339 μB per atom.

Cell and atoms, written as Quantum ESPRESSO input:
```
&SYSTEM
  ibrav = 0, nat = 10, ntyp = 4
/
ATOMIC_SPECIES
K 39.10 K.upf
Mn 54.94 Mn.upf
Ag 107.87 Ag.upf
H 1.01 H.upf
CELL_PARAMETERS angstrom
-2.694 2.694 4.265
2.694 -2.694 4.265
2.694 2.694 -4.265
ATOMIC_POSITIONS crystal
K 0.250 0.750 0.500
K 0.750 0.250 0.500
Mn 0.000 0.000 0.000
Ag 0.500 0.500 0.000
H 0.201 0.201 0.000
H 0.235 0.235 0.470
H 0.235 0.765 0.000
H 0.765 0.235 0.000
H 0.765 0.765 0.530
H 0.799 0.799 0.000
```

***

(12)
The following is a DFT calculation (PBE) of a relaxed KNaAgH3 crystal. Values from VASP.

Results
As for the density of states at the Fermi level: 0.00 states/eV per cell. Its crystal system is monoclinic. The value obtained for the uncorrected energy is -2.64 eV per atom. The space group is P2_1/m. The calculation puts the magnetic moment at 0.000 μB per atom.

Cell and atoms, written as Quantum ESPRESSO input:
```
&SYSTEM
  ibrav = 0, nat = 12, ntyp = 4
/
ATOMIC_SPECIES
K 39.10 K.upf
Na 22.99 Na.upf
Ag 107.87 Ag.upf
H 1.01 H.upf
CELL_PARAMETERS angstrom
7.796 0.000 0.000
0.000 3.535 0.000
-1.758 0.000 7.865
ATOMIC_POSITIONS crystal
K 0.201 0.250 0.209
K 0.799 0.750 0.791
Na 0.367 0.750 0.853
Na 0.633 0.250 0.147
Ag 0.089 0.250 0.625
Ag 0.911 0.750 0.375
H 0.124 0.250 0.851
H 0.154 0.750 0.530
H 0.434 0.750 0.147
H 0.566 0.250 0.853
H 0.846 0.250 0.470
H 0.876 0.750 0.149
```